The following is a PBE calculation of Y2Tm3Sn2 after structural relaxation, from the Alexandria database.

```
Y2Tm3Sn2
1.0
11.7774 0.0000 0.0000
0.0000 4.4218 0.0000
-2.9023 0.0000 7.9024
Y Tm Sn
4 6 4
Direct
0.1348 0.0000 0.2865
0.3652 0.5000 0.7135
0.6348 0.5000 0.2865
0.8652 0.0000 0.7135
0.0000 0.5000 0.5000
0.1238 0.5000 0.9367
0.3762 0.0000 0.0633
0.5000 0.0000 0.5000
0.6238 0.0000 0.9367
0.8762 0.5000 0.0633
0.1709 0.0000 0.6991
0.3291 0.5000 0.3009
0.6709 0.5000 0.6991
0.8291 0.0000 0.3009
```

DOS at the Fermi energy = 1.015 states/eV/atom
formation enthalpy at 0 K = -0.47 eV per atom


The following is a PBE calculation of YTmSn2 after structural relaxation, from the Alexandria database.

```
YTmSn2
1.0
4.2768 0.0000 0.0000
0.0000 6.1084 0.0000
0.0000 0.0000 8.3133
Y Tm Sn
2 2 4
Direct
0.0000 0.1251 0.0000
0.0000 0.8749 0.5000
0.5000 0.3762 0.6350
0.5000 0.6238 0.1350
0.0000 0.4085 0.3622
0.0000 0.5915 0.8622
0.5000 0.0890 0.2726
0.5000 0.9110 0.7726
```

DOS at the Fermi energy = 0.661 states/eV/atom
formation enthalpy at 0 K = -0.70 eV per atom